DFT (GGA+U) results for an optimized crystal structure of K5Mo4O14F.

Cell and atoms, written as extended XYZ:
```
48
Lattice="10.620 -0.006 0.006 5.011 9.363 0.006 1.040 0.622 8.624" Properties=species:S:1:pos:R:3 pbc="T T T"
O 4.770 7.081 7.721
O 11.352 2.801 7.002
O 7.974 0.548 3.409
Mo 6.073 6.795 3.682
K 10.165 5.266 1.931
K 9.962 6.783 6.243
O 8.696 9.431 5.227
K 6.134 9.257 6.474
O 7.601 2.363 8.146
F 9.212 4.115 6.474
Mo 7.736 1.011 5.102
O 10.169 7.700 3.478
O 4.536 1.001 2.618
O 12.134 8.979 6.017
O 7.311 8.372 2.690
O 4.560 4.343 0.846
O 7.855 6.953 8.046
Mo 7.293 7.526 0.641
O 11.702 1.982 4.265
Mo 10.598 3.185 4.953
Mo 9.378 2.454 7.994
O 6.502 2.279 5.158
K 6.506 4.714 6.704
O 11.901 2.899 0.915
K 6.708 3.196 2.392
Mo 12.645 3.949 7.845
O 9.360 1.608 5.946
O 9.069 7.617 0.490
O 13.126 6.143 1.706
O 4.968 7.997 4.370
O 8.816 3.026 0.590
O 7.795 9.690 8.577
O 9.319 3.328 3.734
O 5.319 7.179 1.634
K 10.537 0.722 2.162
O 8.876 0.290 0.058
O 7.351 6.652 4.902
Mo 8.934 8.969 3.533
O 11.517 4.707 4.802
Mo 4.025 6.030 0.790
K 3.075 3.402 3.039
O 5.153 5.272 3.834
F 7.459 5.865 2.162
K 11.700 8.564 1.285
O 3.545 3.837 6.930
K 4.971 1.415 7.351
K 13.595 6.578 5.597
O 12.110 5.637 7.789
```

Output
DOS at the Fermi energy   0.000 states/eV per atom
Total moment   0.10 Bohr magnetons per cell
VASP energy   -0.230 hartree per atom